DFT (PBE-GGA) results for Si2Mo2Se after structural relaxation.

Space group: P4/mbm, No. 127
E: -7.270 eV/atom
Energy relative to the elements, uncorrected: -71 meV per atom

abc: 6.9062 6.9062 3.2832
angles: 90.00 90.00 90.00
Last column: nearest neighbours and their distance in Å.
Atoms (fractional coordinates):
Mo  0.8387  0.6613  0.0000  2 Se 2.59, 6 Si 2.60-2.63
Mo  0.1613  0.3387  0.0000  2 Se 2.59, 6 Si 2.60-2.63
Mo  0.6613  0.1613  0.0000  2 Se 2.59, 6 Si 2.60-2.63
Mo  0.3387  0.8387  0.0000  2 Se 2.59, 6 Si 2.60-2.63
Se  0.0000  0.0000  0.0000  4 Mo 2.59
Se  0.5000  0.5000  0.0000  4 Mo 2.59
Si  0.6284  0.8716  0.5000  1 Si 2.51, 6 Mo 2.60-2.63
Si  0.1284  0.6284  0.5000  1 Si 2.51, 6 Mo 2.60-2.63
Si  0.8716  0.3716  0.5000  1 Si 2.51, 6 Mo 2.60-2.63
Si  0.3716  0.1284  0.5000  1 Si 2.51, 6 Mo 2.60-2.63